A geometry-optimized VHgTe2N structure. Source: Alexandria, functional PBE-GGA.

It has space group P4/mmm (No. 123), with a = 5.515 Å, b = 5.515 Å, c = 3.644 Å, α = 90.00°, β = 90.00° and γ = 90.00°. The asymmetric unit holds V at (0.000, 0.000, 0.000), Hg at (0.500, 0.500, 0.500), Te at (0.000, 0.500, 0.000) and N at (0.000, 0.000, 0.500).

Its excess energy over the best structure of this formula in the dataset is 0 meV/atom.

=====

A geometry-optimized VHgTeN2 structure. Source: Alexandria, functional PBE-GGA.

It has space group P4/mmm (No. 123), with a = 3.907 Å, b = 3.907 Å, c = 5.730 Å, α = 90.00°, β = 90.00° and γ = 90.00°. The asymmetric unit holds V at (0.000, 0.000, 0.000), Hg at (0.500, 0.500, 0.500), Te at (0.000, 0.000, 0.500) and N at (0.000, 0.500, 0.000).

Its excess energy over the best structure of this formula in the dataset is 0 meV/atom.

=====

A geometry-optimized HgTe2WN structure. Source: Alexandria, functional PBE-GGA.

It has space group P4/mmm (No. 123), with a = 5.668 Å, b = 5.668 Å, c = 4.012 Å, α = 90.00°, β = 90.00° and γ = 90.00°. The asymmetric unit holds Hg at (0.000, 0.000, 0.000), Te at (0.000, 0.500, 0.000), W at (0.500, 0.500, 0.500) and N at (0.000, 0.000, 0.500).

Its excess energy over the best structure of this formula in the dataset is 1678 meV/atom.

=====

A geometry-optimized HgTeWN2 structure. Source: Alexandria, functional PBE-GGA.

It has space group P4/mmm (No. 123), with a = 3.991 Å, b = 3.991 Å, c = 5.776 Å, α = 90.00°, β = 90.00° and γ = 90.00°. The asymmetric unit holds Hg at (0.000, 0.000, 0.000), Te at (0.500, 0.500, 0.000), W at (0.500, 0.500, 0.500) and N at (0.000, 0.500, 0.500).

Its excess energy over the best structure of this formula in the dataset is 0 meV/atom.

=====

A geometry-optimized HgTeWN2 structure. Source: Alexandria, functional PBE-GGA.

It has space group P4/mmm (No. 123), with a = 4.086 Å, b = 4.086 Å, c = 5.823 Å, α = 90.00°, β = 90.00° and γ = 90.00°. The asymmetric unit holds Hg at (0.000, 0.000, 0.000), Te at (0.000, 0.000, 0.500), W at (0.500, 0.500, 0.500) and N at (0.000, 0.500, 0.000).

Its excess energy over the best structure of this formula in the dataset is 2345 meV/atom.

=====

A geometry-optimized HgTe2WN structure. Source: Alexandria, functional PBE-GGA.

It has space group P4/mmm (No. 123), with a = 5.506 Å, b = 5.506 Å, c = 3.847 Å, α = 90.00°, β = 90.00° and γ = 90.00°. The asymmetric unit holds Hg at (0.000, 0.000, 0.000), Te at (0.000, 0.500, 0.500), W at (0.500, 0.500, 0.500) and N at (0.500, 0.500, 0.000).

Its excess energy over the best structure of this formula in the dataset is 0 meV/atom.

=====

A geometry-optimized YHgTe2N structure. Source: Alexandria, functional PBE-GGA.

It has space group P4/mmm (No. 123), with a = 6.174 Å, b = 6.174 Å, c = 4.065 Å, α = 90.00°, β = 90.00° and γ = 90.00°. The asymmetric unit holds Y at (0.000, 0.000, 0.000), Hg at (0.500, 0.500, 0.500), Te at (0.000, 0.500, 0.000) and N at (0.000, 0.000, 0.500).

Its excess energy over the best structure of this formula in the dataset is 0 meV/atom.

=====

A geometry-optimized YHgTe2N structure. Source: Alexandria, functional PBE-GGA.

It has space group P4/mmm (No. 123), with a = 5.720 Å, b = 5.720 Å, c = 4.178 Å, α = 90.00°, β = 90.00° and γ = 90.00°. The asymmetric unit holds Y at (0.000, 0.000, 0.000), Hg at (0.500, 0.500, 0.500), Te at (0.000, 0.500, 0.500) and N at (0.500, 0.500, 0.000).

Its excess energy over the best structure of this formula in the dataset is 244 meV/atom.

=====

A geometry-optimized ZnHgTe2N structure. Source: Alexandria, functional PBE-GGA.

It has space group P4/mmm (No. 123), with a = 5.876 Å, b = 5.876 Å, c = 4.006 Å, α = 90.00°, β = 90.00° and γ = 90.00°. The asymmetric unit holds Zn at (0.000, 0.000, 0.000), Hg at (0.500, 0.500, 0.500), Te at (0.000, 0.500, 0.500) and N at (0.500, 0.500, 0.000).

Its excess energy over the best structure of this formula in the dataset is 453 meV/atom.

=====

A geometry-optimized ZnHgTe2N structure. Source: Alexandria, functional PBE-GGA.

It has space group P4/mmm (No. 123), with a = 5.922 Å, b = 5.922 Å, c = 3.567 Å, α = 90.00°, β = 90.00° and γ = 90.00°. The asymmetric unit holds Zn at (0.000, 0.000, 0.000), Hg at (0.500, 0.500, 0.500), Te at (0.000, 0.500, 0.000) and N at (0.000, 0.000, 0.500).

Its excess energy over the best structure of this formula in the dataset is 0 meV/atom.

=====

A geometry-optimized ZrHgTe2N structure. Source: Alexandria, functional PBE-GGA.

It has space group P4/mmm (No. 123), with a = 5.843 Å, b = 5.843 Å, c = 4.033 Å, α = 90.00°, β = 90.00° and γ = 90.00°. The asymmetric unit holds Zr at (0.000, 0.000, 0.000), Hg at (0.500, 0.500, 0.500), Te at (0.000, 0.500, 0.000) and N at (0.000, 0.000, 0.500).

Its excess energy over the best structure of this formula in the dataset is 0 meV/atom.

=====

A geometry-optimized ZrHgTe2N structure. Source: Alexandria, functional PBE-GGA.

It has space group P4/mmm (No. 123), with a = 5.715 Å, b = 5.715 Å, c = 4.028 Å, α = 90.00°, β = 90.00° and γ = 90.00°. The asymmetric unit holds Zr at (0.000, 0.000, 0.000), Hg at (0.500, 0.500, 0.500), Te at (0.000, 0.500, 0.500) and N at (0.500, 0.500, 0.000).

Its excess energy over the best structure of this formula in the dataset is 993 meV/atom.

=====

A geometry-optimized Th2HgN2 structure. Source: Alexandria, functional PBE-GGA.

It has space group I4/mmm (No. 139), with a = 4.163 Å, b = 4.163 Å, c = 12.702 Å, α = 90.00°, β = 90.00° and γ = 90.00°. The asymmetric unit holds Th at (0.000, 0.000, 0.162), Hg at (0.000, 0.000, 0.500) and N at (0.000, 0.500, 0.250).

=====

A geometry-optimized ThHgN structure. Source: Alexandria, functional PBE-GGA.

It has space group I4mm (No. 107), with a = 3.375 Å, b = 3.375 Å, c = 12.439 Å, α = 90.00°, β = 90.00° and γ = 90.00°. The asymmetric unit holds Th at (0.000, 0.000, 0.000), Hg at (0.000, 0.000, 0.275) and N at (0.000, 0.000, 0.532).

Its excess energy over the best structure of this formula in the dataset is 460 meV/atom.

=====

A geometry-optimized ThHgN structure. Source: Alexandria, functional PBE-GGA.

It has space group P4/nmm (No. 129, origin choice 2), with a = 4.123 Å, b = 4.123 Å, c = 7.991 Å, α = 90.00°, β = 90.00° and γ = 90.00°. The asymmetric unit holds Th at (0.250, 0.250, 0.141), Hg at (0.250, 0.250, 0.594) and N at (0.250, 0.750, 0.000).

Its excess energy over the best structure of this formula in the dataset is 0 meV/atom.

=====

A geometry-optimized Th4Hg2N structure. Source: Alexandria, functional PBE-GGA.

It has space group I4/mmm (No. 139), with a = 4.929 Å, b = 4.929 Å, c = 15.864 Å, α = 90.00°, β = 90.00° and γ = 90.00°. The asymmetric unit holds Th at (0.000, 0.000, 0.163), Th at (0.000, 0.500, 0.000), Hg at (0.000, 0.000, 0.360) and N at (0.000, 0.000, 0.000).

=====

A geometry-optimized Th2Hg2N structure. Source: Alexandria, functional PBE-GGA.

It has space group I4_1/amd (No. 141, origin choice 2), with a = 3.913 Å, b = 3.913 Å, c = 33.938 Å, α = 90.00°, β = 90.00° and γ = 90.00°. The asymmetric unit holds Th at (0.000, 0.250, 0.087), Hg at (0.000, 0.250, 0.218) and N at (0.000, 0.250, 0.875).

=====

A geometry-optimized ThTlHgN structure. Source: Alexandria, functional PBE-GGA.

It has space group P4/nmm (No. 129, origin choice 2), with a = 4.267 Å, b = 4.267 Å, c = 10.942 Å, α = 90.00°, β = 90.00° and γ = 90.00°. The asymmetric unit holds Th at (0.250, 0.250, 0.097), Tl at (0.250, 0.750, 0.500), Hg at (0.250, 0.250, 0.730) and N at (0.250, 0.750, 0.000).

=====

A geometry-optimized Ti2HgN structure. Source: Alexandria, functional PBE-GGA.

It has space group Fm-3m (No. 225), with a = 6.221 Å, b = 6.221 Å, c = 6.221 Å, α = 90.00°, β = 90.00° and γ = 90.00°. The asymmetric unit holds Ti at (0.250, 0.250, 0.250), Hg at (0.000, 0.000, 0.000) and N at (0.000, 0.000, 0.500).

Its excess energy over the best structure of this formula in the dataset is 1597 meV/atom.

=====

A geometry-optimized Ti2HgN structure. Source: Alexandria, functional PBE-GGA.

It has space group R-3m (No. 166, hexagonal axes), with a = 3.1064 Å, b = 3.1064 Å, c = 20.7996 Å, α = 90.00°, β = 90.00° and γ = 120.00°. The asymmetric unit holds Ti at (0.0000, 0.0000, 0.2185), Hg at (0.0000, 0.0000, 0.0000) and N at (0.0000, 0.0000, 0.5000).

Its excess energy over the best structure of this formula in the dataset is 0 meV/atom.

=====

A geometry-optimized Ti3HgN structure. Source: Alexandria, functional PBE-GGA.

It has space group Pm-3m (No. 221), with a = 4.184 Å, b = 4.184 Å, c = 4.184 Å, α = 90.00°, β = 90.00° and γ = 90.00°. The asymmetric unit holds Ti at (0.000, 0.000, 0.500), Hg at (0.500, 0.500, 0.500) and N at (0.000, 0.000, 0.000).

=====

A geometry-optimized TiHg3N structure. Source: Alexandria, functional PBE-GGA.

It has space group Pm-3m (No. 221), with a = 4.708 Å, b = 4.708 Å, c = 4.708 Å, α = 90.00°, β = 90.00° and γ = 90.00°. The asymmetric unit holds Ti at (0.000, 0.000, 0.000), Hg at (0.000, 0.500, 0.500) and N at (0.500, 0.500, 0.500).

Its excess energy over the best structure of this formula in the dataset is 0 meV/atom.

=====

A geometry-optimized Ti3HgN structure. Source: Alexandria, functional PBE-GGA.

It has space group P2_1/c (No. 14), with a = 7.516 Å, b = 5.443 Å, c = 9.354 Å, α = 90.00°, β = 128.39° and γ = 90.00°. The asymmetric unit holds Ti at (0.059, 0.053, 0.280), Ti at (0.318, 0.246, 0.660), Ti at (0.407, 0.717, 0.453), Hg at (0.165, 0.747, 0.583) and N at (0.258, 0.132, 0.878).

=====

A geometry-optimized Ti3HgN structure. Source: Alexandria, functional PBE-GGA.

It has space group P2/m (No. 10), with a = 7.026 Å, b = 3.019 Å, c = 7.085 Å, α = 90.00°, β = 94.35° and γ = 90.00°. The asymmetric unit holds Ti at (0.040, 0.000, 0.216), Ti at (0.202, 0.500, 0.530), Ti at (0.459, 0.000, 0.302), Hg at (0.285, 0.500, 0.950), N at (0.000, 0.000, 0.500) and N at (0.500, 0.500, 0.500).

=====

A geometry-optimized Ti3HgN structure. Source: Alexandria, functional PBE-GGA.

It has space group P6_3/mmc (No. 194), with a = 5.8741 Å, b = 5.8741 Å, c = 4.9735 Å, α = 90.00°, β = 90.00° and γ = 120.00°. The asymmetric unit holds Ti at (0.1630, 0.3260, 0.2500), Hg at (0.3333, 0.6667, 0.7500) and N at (0.0000, 0.0000, 0.0000).

=====

A geometry-optimized Ti3HgN structure. Source: Alexandria, functional PBE-GGA.

It has space group R-3 (No. 148, hexagonal axes), with a = 5.3218 Å, b = 5.3218 Å, c = 20.4981 Å, α = 90.00°, β = 90.00° and γ = 120.00°. The asymmetric unit holds Ti at (0.0033, 0.6782, 0.2803), Hg at (0.0000, 0.0000, 0.1638) and N at (0.0000, 0.0000, 0.3377).

=====

In meV per atom, the formation energy from raw total energies values for the records above are, in order, 104 457 1958 406 2751 280 257 501 1200 747 47 1041 -1334 -701 -1161 -450 -702 -785 586 -1012 -860 1081 -557 -833 -793 -638.
In Bohr magnetons per cell, the spin magnetization values for the records above are, in order, 0.5 0.5 5.0 0.0 0.0 0.0 0.1 1.4 1.7 1.9 0.0 2.8 0.0 0.0 0.0 0.0 0.0 0.0 0.0 0.0 0.0 2.6 0.0 0.0 0.0 0.0.